The following is a DFT calculation (PBE) of a relaxed structure of Ni3Pt2Rh2.

Summary:
density of states at the Fermi level: 1.475 states/eV per atom
size of the total moment: 4.51 μB per cell
calculated formation energy: 58 meV/atom

abc: 2.6734 6.1075 6.7270
angles: 63.87 78.73 77.42
Closest atoms and distances in Å follow each position.
Element x y z (fractional)
Ni 0.0000 0.0000 0.0000  6 Ni 2.51-2.67, 2 Pt 2.58, 4 Rh 2.76
Ni 0.3074 0.1465 0.2438  4 Ni 2.51-2.67, 3 Rh 2.51-2.62, 3 Pt 2.51-2.56
Ni 0.6926 0.8535 0.7562  4 Ni 2.51-2.67, 3 Rh 2.51-2.62, 3 Pt 2.51-2.56
Pt 0.0828 0.2542 0.5741  4 Ni 2.51-2.58, 3 Pt 2.67-2.68, 2 Rh 2.80
Pt 0.9172 0.7458 0.4259  4 Ni 2.51-2.58, 3 Pt 2.67-2.68, 2 Rh 2.80
Rh 0.3562 0.4460 0.8405  5 Ni 2.51-2.76, 4 Rh 2.67-2.79, 2 Pt 2.80
Rh 0.6438 0.5540 0.1595  5 Ni 2.51-2.76, 4 Rh 2.67-2.79, 2 Pt 2.80